Material: Cr2HgSb
Method: DFT, GGA-PBE
State: relaxed

Geometry as POSCAR:
```
Cr2HgSb
1.0
-3.772 7.349 4.397
-2.283 6.015 6.795
-0.747 7.947 4.884
Cr Hg Sb
2 1 1
Cartesian
-6.723 21.063 15.889
-1.793 5.617 4.237
-3.487 10.926 8.242
-5.002 15.670 11.821
```

Calculated values
M_tot	0.52	μB per cell
ΔE to the lowest computed polymorph	136.0	meV per atom
energy relative to the elements, uncorrected	0.425	eV/atom
final energy	-21.97	eV/f.u.
crystal system	trigonal
N(E_F)	0.51	states/eV/atom

***

Material: Tb2Pr3Mg3
Method: DFT, GGA-PBE
State: relaxed

Geometry as POSCAR:
```
Tb2Pr3Mg3
1.0
-3.800 0.203 -0.533
-0.761 -3.869 3.957
1.613 10.030 6.175
Tb Pr Mg
2 3 3
Cartesian
-2.215 3.971 3.457
-0.733 2.393 6.142
-2.448 0.225 3.692
-0.500 6.139 5.907
-1.900 0.102 -0.266
-0.160 1.963 1.889
-0.381 -1.935 1.978
-2.788 4.400 7.710
```

Calculated values
M_tot	0.00	μB per cell
final energy	-28.98	eV/f.u.
formation energy from the elements	-0.60	eV per formula unit
crystal system	orthorhombic
N(E_F)	1.18	states/eV/atom

***

Material: Hg3SbOs
Method: DFT, GGA-PBE
State: relaxed

Geometry as POSCAR:
```
Hg3SbOs
1.0
5.248 0.000 0.000
0.000 5.248 0.000
0.000 0.000 5.248
Sb Os Hg
1 1 3
Cartesian
2.624 2.624 2.624
0.000 0.000 0.000
0.000 2.624 0.000
0.000 0.000 2.624
2.624 0.000 0.000
```

Calculated values
M_tot	2.12	μB per cell
ΔE to the lowest computed polymorph	0.0	meV per atom
energy relative to the elements, uncorrected	0.968	eV/atom
final energy	-11.42	eV/f.u.
crystal system	cubic
N(E_F)	0.79	states/eV/atom

***

Material: LiPd3Rh
Method: DFT, GGA-PBE
State: relaxed

Geometry as POSCAR:
```
LiPd3Rh
1.0
4.203 0.000 0.000
0.000 4.203 0.000
0.000 0.000 4.203
Rh Pd Li
1 3 1
Cartesian
2.101 2.101 2.101
0.000 2.101 0.000
0.000 0.000 2.101
2.101 0.000 0.000
0.000 0.000 0.000
```

Calculated values
M_tot	1.32	μB per cell
ΔE to the lowest computed polymorph	599.9	meV per atom
final energy	-22.47	eV/f.u.
formation energy from the elements	2.38	eV per formula unit
crystal system	cubic
N(E_F)	1.24	states/eV/atom

***

Material: ZnCdAsBr
Method: DFT, GGA-PBE
State: relaxed

Geometry as POSCAR:
```
ZnCdAsBr
1.0
4.230 -0.003 -0.008
-2.113 3.665 0.008
-2.097 -1.231 7.581
Zn Cd As Br
1 1 1 1
Cartesian
-1.614 0.933 4.597
0.497 -0.287 1.965
0.500 -0.289 4.534
0.495 2.157 0.501
```

Calculated values
M_tot	0.00	μB per cell
energy relative to the elements, uncorrected	-0.382	eV/atom
final energy	-10.04	eV/f.u.
crystal system	trigonal
N(E_F)	0.05	states/eV/atom

***

Material: ReOs
Method: DFT, GGA-PBE
State: relaxed

Geometry as POSCAR:
```
ReOs
1.0
2.747 0.000 0.000
-1.374 9.025 0.000
1.374 -0.209 2.370
Os Re
2 2
Cartesian
0.000 0.016 0.001
0.000 6.700 0.591
1.374 4.453 1.189
2.747 2.054 1.774
```

Calculated values
M_tot	0.00	μB per cell
ΔE to the lowest computed polymorph	182.2	meV per atom
final energy	-23.50	eV/f.u.
formation energy from the elements	0.18	eV per formula unit
crystal system	trigonal
N(E_F)	0.92	states/eV/atom

***

Material: SiTeW2
Method: DFT, GGA-PBE
State: relaxed

Geometry as POSCAR:
```
SiTeW2
1.0
-2.812 2.719 -2.505
-4.360 1.599 -0.082
0.366 4.621 2.368
Si Te W
1 1 2
Cartesian
-5.104 6.705 -0.164
-1.701 2.235 -0.055
0.176 4.620 2.246
-3.212 4.471 0.013
```

Calculated values
M_tot	0.00	μB per cell
ΔE to the lowest computed polymorph	241.0	meV per atom
energy relative to the elements, uncorrected	0.535	eV/atom
final energy	-32.33	eV/f.u.
crystal system	monoclinic
N(E_F)	0.48	states/eV/atom

***

Material: CsMnCuPt2
Method: DFT, GGA-PBE
State: relaxed

Geometry as POSCAR:
```
CsMnCuPt2
1.0
5.278 0.000 0.000
0.000 5.070 0.000
0.000 0.000 5.278
Cs Mn Cu Pt
1 1 1 2
Cartesian
0.000 0.000 0.000
2.639 2.535 2.639
0.000 2.535 0.000
0.000 0.000 2.639
2.639 0.000 0.000
```

Calculated values
M_tot	4.86	μB per cell
final energy	-15.78	eV/f.u.
formation energy from the elements	10.42	eV per formula unit
crystal system	tetragonal
N(E_F)	0.77	states/eV/atom

***

Material: MoW2Se2S4
Method: DFT, GGA-PBE
State: relaxed

Geometry as POSCAR:
```
MoW2Se2S4
1.0
-1.183 -2.849 -0.960
2.182 0.124 2.380
-16.153 1.746 14.717
Mo W Se S
1 2 2 4
Cartesian
-0.061 -1.858 0.153
-9.819 0.309 11.178
-4.214 -0.297 6.072
-0.198 -0.731 2.413
-13.835 0.743 14.837
-9.792 -0.806 9.018
-4.187 -1.412 3.912
-12.089 -0.558 11.111
-6.484 -1.164 6.005
```

Calculated values
M_tot	0.00	μB per cell
ΔE to the lowest computed polymorph	0.0	meV per atom
energy relative to the elements, uncorrected	-0.766	eV/atom
final energy	-67.11	eV/f.u.
crystal system	hexagonal

***

Material: PmSmYGa
Method: DFT, GGA-PBE
State: relaxed

Geometry as POSCAR:
```
PmSmYGa
1.0
5.404 0.000 0.000
2.702 4.680 0.000
2.702 1.560 4.412
Y Ga Sm Pm
1 1 1 1
Cartesian
8.105 4.680 3.309
0.000 0.000 0.000
2.702 1.560 1.103
5.404 3.120 2.206
```

Calculated values
M_tot	1.41	μB per cell
final energy	-19.19	eV/f.u.
formation energy from the elements	-0.23	eV per formula unit
crystal system	cubic
N(E_F)	1.33	states/eV/atom

***

Material: Pm3Hg3Pb
Method: DFT, GGA-PBE
State: relaxed

Geometry as POSCAR:
```
Pm3Hg3Pb
1.0
-0.351 6.478 3.486
-4.191 2.724 -5.409
-6.330 -2.345 3.722
Pm Hg Pb
6 6 2
Cartesian
-4.703 -1.741 2.765
-1.785 2.642 2.680
-3.699 0.771 -1.754
-9.087 4.214 -0.881
-7.173 6.085 3.553
-6.169 8.597 -0.965
-4.453 1.414 1.325
-6.318 2.566 -1.144
-4.554 4.290 2.943
-3.177 3.715 -3.061
-1.365 5.487 1.138
-6.419 5.442 0.474
-7.559 0.158 3.196
-3.313 6.698 -1.397
```

Calculated values
M_tot	1.61	μB per cell
ΔE to the lowest computed polymorph	51.1	meV per atom
final energy	-21.42	eV/f.u.
formation energy from the elements	-2.56	eV per formula unit
crystal system	monoclinic
N(E_F)	0.74	states/eV/atom

***

Material: BaCdCoTe2
Method: DFT, GGA-PBE
State: relaxed

Geometry as POSCAR:
```
BaCdCoTe2
1.0
6.534 0.000 0.000
0.000 6.630 0.000
0.000 0.000 6.534
Te Co Ba Cd
2 1 1 1
Cartesian
0.000 0.000 3.267
3.267 0.000 0.000
3.267 3.315 3.267
0.000 0.000 0.000
0.000 3.315 0.000
```

Calculated values
M_tot	2.61	μB per cell
energy relative to the elements, uncorrected	0.913	eV/atom
final energy	-11.66	eV/f.u.
crystal system	tetragonal
N(E_F)	2.12	states/eV/atom

***

Which of these has the highest M_tot? CsMnCuPt2

***

Which of these has the lowest final energy? MoW2Se2S4